1.
# PBE SrW5, relaxed
data_SrW5
_chemical_formula_sum 'Sr2 W10'
_symmetry_space_group_name_H-M 'C 1 2/m 1'
_symmetry_Int_Tables_number 12
_cell_length_a 10.691
_cell_length_b 3.164
_cell_length_c 6.784
_cell_angle_alpha 90.00
_cell_angle_beta 107.95
_cell_angle_gamma 90.00
loop_
_symmetry_equiv_pos_as_xyz
'x,y,z'
'-x,-y,-z'
'-x,y,-z'
'x,-y,z'
'x+1/2,y+1/2,z'
'-x+1/2,-y+1/2,-z'
'-x+1/2,y+1/2,-z'
'x+1/2,-y+1/2,z'
loop_
_atom_site_label
_atom_site_type_symbol
_atom_site_fract_x
_atom_site_fract_y
_atom_site_fract_z
Sr1 Sr 0.000 0.000 0.000
W1 W 0.000 0.000 0.500
W2 W 0.179 0.500 0.357
W3 W 0.180 0.500 0.818
# Spin magnetization (μB/cell): 0.00
# Density of states at the Fermi level (states/eV/cell): 9.04
# Energy of formation (eV/atom): 0.773
# Total DFT energy (no corrections) (eV per cell): -123.62

2.
# PBE BaPaAuO5, relaxed
data_BaPaAuO5
_chemical_formula_sum 'Ba4 Pa4 Au4 O20'
_symmetry_space_group_name_H-M 'C 1 2/c 1'
_symmetry_Int_Tables_number 15
_cell_length_a 6.480
_cell_length_b 10.646
_cell_length_c 8.223
_cell_angle_alpha 90.00
_cell_angle_beta 106.03
_cell_angle_gamma 90.00
loop_
_symmetry_equiv_pos_as_xyz
'x,y,z'
'-x,-y,-z'
'-x,y,-z+1/2'
'x,-y,z+1/2'
'x+1/2,y+1/2,z'
'-x+1/2,-y+1/2,-z'
'-x+1/2,y+1/2,-z+1/2'
'x+1/2,-y+1/2,z+1/2'
loop_
_atom_site_label
_atom_site_type_symbol
_atom_site_fract_x
_atom_site_fract_y
_atom_site_fract_z
Ba1 Ba 0.000 0.181 0.250
Pa1 Pa 0.000 0.500 0.000
Au1 Au 0.000 0.166 0.750
O1 O 0.000 0.433 0.250
O2 O 0.021 0.303 0.575
O3 O 0.154 0.029 0.921
# Spin magnetization (μB/cell): 0.00
# Total DFT energy (no corrections) (eV per cell): -228.93
# Uncorrected formation energy (eV/atom): -2.22

3.
# PBE MnRe, relaxed
data_MnRe
_chemical_formula_sum 'Mn6 Re6'
_symmetry_space_group_name_H-M 'R -3 m'
_symmetry_Int_Tables_number 166
_symmetry_space_group_name_Hall '-R 3 2"'
_cell_length_a 2.6781
_cell_length_b 2.6781
_cell_length_c 25.5260
_cell_angle_alpha 90.00
_cell_angle_beta 90.00
_cell_angle_gamma 120.00
loop_
_atom_site_label
_atom_site_type_symbol
_atom_site_fract_x
_atom_site_fract_y
_atom_site_fract_z
Mn1 Mn 0.0000 0.0000 0.1293
Re1 Re 0.0000 0.0000 0.3802
# Spin magnetization (μB/cell): 0.00
# Density of states at the Fermi level (states/eV/cell): 14.34
# Energy of formation (eV/atom): 0.186
# Total DFT energy (no corrections) (eV per cell): -127.47

4.
# PBE BaNaHg6, relaxed
data_BaNaHg6
_chemical_formula_sum 'Ba1 Na1 Hg6'
_symmetry_space_group_name_H-M 'P m m 2'
_symmetry_Int_Tables_number 25
_cell_length_a 5.382
_cell_length_b 7.313
_cell_length_c 5.782
_cell_angle_alpha 90.00
_cell_angle_beta 90.00
_cell_angle_gamma 90.00
loop_
_symmetry_equiv_pos_as_xyz
'x,y,z'
'-x,-y,z'
'-x,y,z'
'x,-y,z'
loop_
_atom_site_label
_atom_site_type_symbol
_atom_site_fract_x
_atom_site_fract_y
_atom_site_fract_z
Ba1 Ba 0.000 0.000 0.000
Na1 Na 0.500 0.500 0.312
Hg1 Hg 0.000 0.280 0.491
Hg2 Hg 0.000 0.500 0.993
Hg3 Hg 0.500 0.000 0.404
Hg4 Hg 0.500 0.283 0.823
# Spin magnetization (μB/cell): 0.00
# Density of states at the Fermi level (states/eV/cell): 4.31
# Energy of formation (eV/atom): -0.313
# Total DFT energy (no corrections) (eV per cell): -7.56